# 1
# GGA-PBE CaAlBr2, optimized geometry
data_CaAlBr2
_space_group_name_H-M_alt 'F -4 3 m'
_space_group_IT_number 216
_space_group_name_Hall 'F -4 2 3'
_cell_length_a 7.673
_cell_length_b 7.673
_cell_length_c 7.673
_cell_angle_alpha 90.00
_cell_angle_beta 90.00
_cell_angle_gamma 90.00
loop_
_atom_site_label
_atom_site_type_symbol
_atom_site_fract_x
_atom_site_fract_y
_atom_site_fract_z
Ca1 Ca 0.000 0.000 0.000
Al1 Al 0.250 0.250 0.250
Br1 Br 0.000 0.000 0.500
Br2 Br 0.250 0.250 0.750
# Total magnetic moment   0.5 μB per formula unit
# Energy relative to the elements, uncorrected   -0.411 eV/atom
# Offset from the most stable computed form   54.0 kJ per mole of atoms
# Calculated density   3.34 Mg/m³
# V   451.81 Å³ per cell

=====

# 2
# GGA-PBE CaAlBr2, optimized geometry
data_CaAlBr2
_space_group_name_H-M_alt 'C 1 2/m 1'
_space_group_IT_number 12
_cell_length_a 7.232
_cell_length_b 8.393
_cell_length_c 5.539
_cell_angle_alpha 90.00
_cell_angle_beta 130.31
_cell_angle_gamma 90.00
loop_
_space_group_symop_operation_xyz
'x,y,z'
'-x,-y,-z'
'-x,y,-z'
'x,-y,z'
'x+1/2,y+1/2,z'
'-x+1/2,-y+1/2,-z'
'-x+1/2,y+1/2,-z'
'x+1/2,-y+1/2,z'
loop_
_atom_site_label
_atom_site_type_symbol
_atom_site_fract_x
_atom_site_fract_y
_atom_site_fract_z
Ca1 Ca 0.000 0.000 0.000
Al1 Al 0.000 0.500 0.000
Br1 Br 0.250 0.250 0.500
# Total magnetic moment   0.9 μB per formula unit
# Energy relative to the elements, uncorrected   -0.775 eV/atom
# Offset from the most stable computed form   18.9 kJ per mole of atoms
# Calculated density   2.94 Mg/m³
# V   256.38 Å³ per cell

=====

# 3
# GGA-PBE Ca2AlBr, optimized geometry
data_Ca2AlBr
_space_group_name_H-M_alt 'P 4 m m'
_space_group_IT_number 99
_cell_length_a 3.652
_cell_length_b 3.652
_cell_length_c 10.409
_cell_angle_alpha 90.00
_cell_angle_beta 90.00
_cell_angle_gamma 90.00
loop_
_space_group_symop_operation_xyz
'x,y,z'
'-y,x,z'
'-x,-y,z'
'y,-x,z'
'-x,y,z'
'y,x,z'
'x,-y,z'
'-y,-x,z'
loop_
_atom_site_label
_atom_site_type_symbol
_atom_site_fract_x
_atom_site_fract_y
_atom_site_fract_z
Ca1 Ca 0.000 0.000 0.000
Ca2 Ca 0.500 0.500 0.302
Al1 Al 0.000 0.000 0.475
Br1 Br 0.500 0.500 0.852
# Total magnetic moment   0.0 μB per formula unit
# Energy relative to the elements, uncorrected   -0.441 eV/atom
# Offset from the most stable computed form   34.1 kJ per mole of atoms
# Calculated density   2.24 Mg/m³
# V   138.84 Å³ per cell

=====

# 4
# GGA-PBE Ca2AlBr, optimized geometry
data_Ca2AlBr
_space_group_name_H-M_alt 'C 1 m 1'
_space_group_IT_number 8
_cell_length_a 12.086
_cell_length_b 3.681
_cell_length_c 5.240
_cell_angle_alpha 90.00
_cell_angle_beta 90.03
_cell_angle_gamma 90.00
loop_
_space_group_symop_operation_xyz
'x,y,z'
'x,-y,z'
'x+1/2,y+1/2,z'
'x+1/2,-y+1/2,z'
loop_
_atom_site_label
_atom_site_type_symbol
_atom_site_fract_x
_atom_site_fract_y
_atom_site_fract_z
Ca1 Ca 0.000 0.000 0.000
Ca2 Ca 0.247 0.500 0.501
Al1 Al 0.483 0.000 0.500
Br1 Br 0.246 0.000 0.001
# Total magnetic moment   0.7 μB per formula unit
# Energy relative to the elements, uncorrected   -0.624 eV/atom
# Offset from the most stable computed form   16.4 kJ per mole of atoms
# Calculated density   2.66 Mg/m³
# V   233.11 Å³ per cell